Version w
Density functional theory data (PBE) for crystalline LiFeCo at its relaxed geometry.

As for the magnetization: 0.000 μB/cell.

The space group is P6_3/mmc (No. 194) and the conventional cell measures 3.9540, 3.9540 and 4.5491 Å, with angles of 90.00, 90.00 and 120.00 degrees. Symmetry generates all atoms from Li at (0.3333, 0.6667, 0.2500), Fe at (0.0000, 0.0000, 0.0000) and Co at (0.3333, 0.6667, 0.7500).

Version x
Density functional theory data (PBE) for crystalline LiFeCo at its relaxed geometry.

As for the magnetization: 8.387 μB/cell.

The space group is P4/nmm (No. 129, origin choice 2) and the conventional cell measures 3.707, 3.707 and 6.195 Å, with angles of 90.00, 90.00 and 90.00 degrees. Symmetry generates all atoms from Li at (0.250, 0.250, 0.162), Fe at (0.250, 0.750, 0.500) and Co at (0.250, 0.250, 0.730).

Ranked by calculated energy, most stable first: version x, version w.